[1]
A plane-wave DFT calculation with PBEsol was carried out for crystalline Ba2CuAu at its relaxed geometry.

The structure in POSCAR format:
```
Ba2CuAu
1.0
4.547 0.000 0.000
-2.274 3.938 0.000
0.000 0.000 24.224
Ba Cu Au
6 3 3
direct
0.000 0.000 0.000
0.000 0.000 0.169
0.333 0.667 0.667
0.333 0.667 0.835
0.667 0.333 0.333
0.667 0.333 0.502
0.000 0.000 0.751
0.333 0.667 0.418
0.667 0.333 0.085
0.000 0.000 0.418
0.333 0.667 0.084
0.667 0.333 0.751
```

Calculated values
The symmetry is R3m. The formation energy is -329.6 meV/atom. The calculation puts the energy above the most stable polymorph in this dataset at 0 meV per atom.

[2]
A plane-wave DFT calculation with PBEsol was carried out for crystalline Ba2CuAu at its relaxed geometry.

The structure in POSCAR format:
```
Ba2CuAu
1.0
7.791 0.000 0.000
0.000 7.791 0.000
0.000 0.000 7.791
Ba Cu Au
8 4 4
direct
0.250 0.250 0.250
0.250 0.250 0.750
0.250 0.750 0.250
0.250 0.750 0.750
0.750 0.250 0.250
0.750 0.250 0.750
0.750 0.750 0.250
0.750 0.750 0.750
0.000 0.000 0.000
0.000 0.500 0.500
0.500 0.000 0.500
0.500 0.500 0.000
0.000 0.000 0.500
0.000 0.500 0.000
0.500 0.000 0.000
0.500 0.500 0.500
```

Calculated values
The symmetry is Fm-3m. The formation energy is -234.0 meV/atom. The calculation puts the energy above the most stable polymorph in this dataset at 96 meV per atom.

[3]
A plane-wave DFT calculation with PBEsol was carried out for crystalline Ba2CuAu at its relaxed geometry.

The structure in POSCAR format:
```
Ba2CuAu
1.0
4.558 0.000 0.000
0.000 4.558 0.000
0.000 0.000 11.353
Ba Cu Au
4 2 2
direct
0.000 0.000 0.000
0.000 0.500 0.250
0.500 0.000 0.750
0.500 0.500 0.500
0.000 0.000 0.500
0.500 0.500 0.000
0.000 0.500 0.750
0.500 0.000 0.250
```

Calculated values
The symmetry is I-4m2. The formation energy is -66.5 meV/atom. The calculation puts the energy above the most stable polymorph in this dataset at 263 meV per atom.

[4]
A plane-wave DFT calculation with PBEsol was carried out for crystalline Ba2CuAu at its relaxed geometry.

The structure in POSCAR format:
```
Ba2CuAu
1.0
5.527 0.000 0.000
0.000 5.527 0.000
0.000 0.000 3.888
Ba Cu Au
2 1 1
direct
0.000 0.500 0.000
0.500 0.000 0.000
0.000 0.000 0.500
0.500 0.500 0.500
```

Calculated values
The symmetry is P4/mmm. The formation energy is -234.9 meV/atom. The calculation puts the energy above the most stable polymorph in this dataset at 95 meV per atom.

[5]
A plane-wave DFT calculation with PBEsol was carried out for crystalline BaMgCu2Au at its relaxed geometry.

The structure in POSCAR format:
```
BaMgCu2Au
1.0
5.284 0.000 0.000
0.000 5.284 0.000
0.000 0.000 6.376
Ba Mg Cu Au
1 1 2 1
direct
0.000 0.000 0.000
0.000 0.000 0.500
0.000 0.500 0.000
0.500 0.000 0.000
0.500 0.500 0.500
```

Calculated values
The symmetry is P4/mmm. The formation energy is 1568.3 meV/atom.

[6]
A plane-wave DFT calculation with PBEsol was carried out for crystalline BaAu2F12 at its relaxed geometry.

The structure in POSCAR format:
```
BaAu2F12
1.0
10.412 0.000 0.000
0.000 10.412 0.000
0.000 0.000 10.412
Ba Au F
4 8 48
direct
0.000 0.000 0.000
0.000 0.000 0.500
0.000 0.500 0.000
0.500 0.000 0.000
0.249 0.249 0.249
0.249 0.249 0.751
0.249 0.751 0.249
0.249 0.751 0.751
0.751 0.249 0.249
0.751 0.249 0.751
0.751 0.751 0.249
0.751 0.751 0.751
0.124 0.124 0.308
0.124 0.124 0.692
0.124 0.308 0.124
0.124 0.308 0.876
0.124 0.692 0.124
0.124 0.692 0.876
0.124 0.876 0.308
0.124 0.876 0.692
0.185 0.369 0.369
0.185 0.369 0.631
0.185 0.631 0.369
0.185 0.631 0.631
0.308 0.124 0.124
0.308 0.124 0.876
0.308 0.876 0.124
0.308 0.876 0.876
0.369 0.185 0.369
0.369 0.185 0.631
0.369 0.369 0.185
0.369 0.369 0.815
0.369 0.631 0.185
0.369 0.631 0.815
0.369 0.815 0.369
0.369 0.815 0.631
0.631 0.185 0.369
0.631 0.185 0.631
0.631 0.369 0.185
0.631 0.369 0.815
0.631 0.631 0.185
0.631 0.631 0.815
0.631 0.815 0.369
0.631 0.815 0.631
0.692 0.124 0.124
0.692 0.124 0.876
0.692 0.876 0.124
0.692 0.876 0.876
0.815 0.369 0.369
0.815 0.369 0.631
0.815 0.631 0.369
0.815 0.631 0.631
0.876 0.124 0.308
0.876 0.124 0.692
0.876 0.308 0.124
0.876 0.308 0.876
0.876 0.692 0.124
0.876 0.692 0.876
0.876 0.876 0.308
0.876 0.876 0.692
```

Calculated values
Its uncorrected formation energy is -1.50 eV/atom. The symmetry is Pm-3m.

[7]
A plane-wave DFT calculation with PBEsol was carried out for crystalline Ba3AuF at its relaxed geometry.

The structure in POSCAR format:
```
Ba3AuF
1.0
5.376 0.000 0.000
0.000 5.376 0.000
0.000 0.000 5.376
Ba Au F
3 1 1
direct
0.000 0.000 0.500
0.000 0.500 0.000
0.500 0.000 0.000
0.500 0.500 0.500
0.000 0.000 0.000
```

Calculated values
Its uncorrected formation energy is -1.15 eV/atom. The symmetry is Pm-3m.

[8]
A plane-wave DFT calculation with PBEsol was carried out for crystalline BaAuOF2 at its relaxed geometry.

The structure in POSCAR format:
```
BaAuOF2
1.0
4.915 0.000 0.000
0.000 4.915 0.000
0.000 0.000 4.563
Ba Au O F
1 1 1 2
direct
0.000 0.000 0.000
0.500 0.500 0.500
0.000 0.000 0.500
0.000 0.500 0.000
0.500 0.000 0.000
```

Calculated values
Its uncorrected formation energy is -1.01 eV/atom. The symmetry is P4/mmm.

[9]
A plane-wave DFT calculation with PBEsol was carried out for crystalline Ba4FeAu at its relaxed geometry.

The structure in POSCAR format:
```
Ba4FeAu
1.0
0.000 4.803 4.803
4.803 0.000 4.803
4.803 4.803 0.000
Ba Fe Au
4 1 1
direct
0.125 0.125 0.125
0.125 0.125 0.626
0.125 0.626 0.125
0.626 0.125 0.125
0.500 0.500 0.500
0.750 0.750 0.750
```

Calculated values
The symmetry is F-43m. The formation energy is 933.7 meV/atom.

[10]
A plane-wave DFT calculation with PBEsol was carried out for crystalline BaFeAu2 at its relaxed geometry.

The structure in POSCAR format:
```
BaFeAu2
1.0
4.401 0.000 0.000
0.000 4.401 0.000
0.000 0.000 8.980
Ba Fe Au
2 2 4
direct
0.000 0.000 0.000
0.500 0.500 0.500
0.000 0.500 0.250
0.500 0.000 0.750
0.000 0.000 0.500
0.000 0.500 0.750
0.500 0.000 0.250
0.500 0.500 0.000
```

Calculated values
The symmetry is I-4m2. The formation energy is 340.1 meV/atom.

[11]
A plane-wave DFT calculation with PBEsol was carried out for crystalline BaFe2Au at its relaxed geometry.

The structure in POSCAR format:
```
BaFe2Au
1.0
4.424 0.000 0.000
0.000 4.424 0.000
0.000 0.000 3.765
Ba Fe Au
1 2 1
direct
0.000 0.000 0.000
0.000 0.500 0.500
0.500 0.000 0.500
0.500 0.500 0.000
```

Calculated values
The symmetry is P4/mmm. The formation energy is 850.2 meV/atom.

[12]
A plane-wave DFT calculation with PBEsol was carried out for crystalline BaGa3Au at its relaxed geometry.

The structure in POSCAR format:
```
BaGa3Au
1.0
5.793 0.000 0.000
0.000 5.793 0.000
0.000 0.000 5.793
Ba Ga Au
1 3 1
direct
0.000 0.000 0.000
0.000 0.000 0.500
0.000 0.500 0.000
0.500 0.000 0.000
0.500 0.500 0.500
```

Calculated values
The symmetry is Pm-3m. The formation energy is 1331.1 meV/atom.

[13]
A plane-wave DFT calculation with PBEsol was carried out for crystalline BaGeAu3 at its relaxed geometry.

The structure in POSCAR format:
```
BaGeAu3
1.0
5.001 0.000 0.000
0.000 5.001 0.000
0.000 0.000 5.001
Ba Ge Au
1 1 3
direct
0.000 0.000 0.000
0.500 0.500 0.500
0.000 0.500 0.500
0.500 0.000 0.500
0.500 0.500 0.000
```

Calculated values
The symmetry is Pm-3m. The formation energy is -363.5 meV/atom. The calculation puts the energy above the most stable polymorph in this dataset at 132 meV per atom.